Record 1
This record from Alexandria via LeMat-Bulk describes an optimized crystal structure of SrSbTe2Rh. The functional is PBE.

The total energy comes out at -13.89 eV for the cell shown. As for the relative energy among the computed polymorphs: 1560 meV per atom. The value obtained for the spin magnetization is 1.43 μB per formula unit. The value obtained for the uncorrected formation energy is 1.1096 eV per atom. The value obtained for the calculated volume is 217 Å³/cell.

It has space group P4/mmm (No. 123), with a = 6.0126 Å, b = 6.0126 Å, c = 6.0126 Å, α = 90.00°, β = 90.00° and γ = 90.00°. The distinct sites, in fractional coordinates, are Sr at (0.0000, 0.0000, 0.0000), Sb at (0.0000, 0.0000, 0.5000), Te at (0.0000, 0.5000, 0.0000) and Rh at (0.5000, 0.5000, 0.5000).


Record 2
This record from Alexandria via LeMat-Bulk describes an optimized crystal structure of Hf6AlSn3. The functional is PBE.

The total energy comes out at -306.68 eV for the cell shown. The value obtained for the spin magnetization is 0.00 μB per formula unit. The value obtained for the calculated volume is 914 Å³/cell.

It has space group Cmc2_1 (No. 36), with a = 8.9889 Å, b = 15.0741 Å, c = 6.7430 Å, α = 90.00°, β = 90.00° and γ = 90.00°. The distinct sites, in fractional coordinates, are Hf at (0.0000, 0.0424, 0.0000), Hf at (0.0000, 0.2633, 0.3394), Hf at (0.1810, 0.2306, 0.9769), Hf at (0.1866, 0.4225, 0.2293), Al at (0.0000, 0.1431, 0.6703), Sn at (0.0000, 0.4051, 0.6275) and Sn at (0.1927, 0.1010, 0.3253).


Record 3
This record from Alexandria via LeMat-Bulk describes an optimized crystal structure of Ca2AlZn. The functional is PBE.

The total energy comes out at -26.92 eV for the cell shown. The value obtained for the spin magnetization is 0.00 μB per formula unit. The value obtained for the calculated volume is 339 Å³/cell.

It has space group R-3m (No. 166, hexagonal axes), with a = 3.7254 Å, b = 3.7254 Å, c = 28.1668 Å, α = 90.00°, β = 90.00° and γ = 120.00°. The distinct sites, in fractional coordinates, are Ca at (0.0000, 0.0000, 0.2474), Al at (0.0000, 0.0000, 0.0000) and Zn at (0.0000, 0.0000, 0.5000).


Number 1 is which compound?
SrSbTe2Rh


Copy entry 3 word for word.
This record from Alexandria via LeMat-Bulk describes an optimized crystal structure of Ca2AlZn. The functional is PBE.

The total energy comes out at -26.92 eV for the cell shown. The value obtained for the spin magnetization is 0.00 μB per formula unit. The value obtained for the calculated volume is 339 Å³/cell.

It has space group R-3m (No. 166, hexagonal axes), with a = 3.7254 Å, b = 3.7254 Å, c = 28.1668 Å, α = 90.00°, β = 90.00° and γ = 120.00°. The distinct sites, in fractional coordinates, are Ca at (0.0000, 0.0000, 0.2474), Al at (0.0000, 0.0000, 0.0000) and Zn at (0.0000, 0.0000, 0.5000).


Look up the spin magnetization of the third one.
0.00 μB per formula unit